The following is a PBE calculation of an optimized crystal structure of Cs3NdNp3Se8, from Alexandria. Values from VASP.

- DFT total energy (eV per atom) = -6.32
- density of states at the Fermi level (states/eV/f.u.) = 28.4

Quantum ESPRESSO input file:
```
&SYSTEM
  ibrav = 0, nat = 15, ntyp = 4
/
ATOMIC_SPECIES
Cs 132.91 Cs.upf
Se 78.96 Se.upf
Np 237.00 Np.upf
Nd 144.24 Nd.upf
ATOMIC_POSITIONS angstrom
Cs 2.141 3.709 -0.011
Se 2.085 3.690 5.788
Np -2.141 1.250 4.234
Se 2.197 -1.191 2.680
Se 6.366 -1.191 2.680
Np 4.282 -2.459 4.245
Se 4.282 0.022 5.783
Se 0.000 2.477 2.684
Se 0.000 0.083 5.794
Se -2.085 3.690 5.788
Cs 0.000 0.000 0.000
Se 4.282 2.416 2.673
Nd 0.000 -2.459 4.245
Np 2.141 1.250 4.234
Cs -2.141 3.709 -0.011
CELL_PARAMETERS angstrom
8.563 0.000 0.000
-4.282 7.417 -0.023
0.000 -4.918 8.490
```

***

The following is a PBE calculation of an optimized crystal structure of LaAlV3, from Alexandria. Values from VASP.

- DFT total energy (eV per atom) = -5.59
- excess energy over the best structure of this formula in the dataset (eV per atom) = 0.704
- density of states at the Fermi level (states/eV/f.u.) = 6.8

Quantum ESPRESSO input file:
```
&SYSTEM
  ibrav = 0, nat = 5, ntyp = 3
/
ATOMIC_SPECIES
V 50.94 V.upf
Al 26.98 Al.upf
La 138.91 La.upf
ATOMIC_POSITIONS angstrom
V 2.287 0.000 0.000
Al 2.287 2.287 2.287
La 0.000 0.000 0.000
V 0.000 2.287 0.000
V 0.000 0.000 2.287
CELL_PARAMETERS angstrom
4.574 0.000 0.000
0.000 4.574 0.000
0.000 0.000 4.574
```

***

The following is a PBE calculation of an optimized crystal structure of Ti3AsI, from Alexandria. Values from VASP.

- DFT total energy (eV per atom) = -5.68
- excess energy over the best structure of this formula in the dataset (eV per atom) = 0.000
- density of states at the Fermi level (states/eV/f.u.) = 7.3

Quantum ESPRESSO input file:
```
&SYSTEM
  ibrav = 0, nat = 5, ntyp = 3
/
ATOMIC_SPECIES
Ti 47.87 Ti.upf
As 74.92 As.upf
I 126.90 I.upf
ATOMIC_POSITIONS angstrom
Ti 0.000 0.000 2.428
As 0.000 0.000 0.000
I 2.428 2.428 2.428
Ti 0.000 2.428 0.000
Ti 2.428 0.000 0.000
CELL_PARAMETERS angstrom
4.856 0.000 0.000
0.000 4.856 0.000
0.000 0.000 4.856
```

***

The following is a PBE calculation of an optimized crystal structure of Ce2RuCl, from Alexandria. Values from VASP.

- DFT total energy (eV per atom) = -6.59
- excess energy over the best structure of this formula in the dataset (eV per atom) = 0.068
- density of states at the Fermi level (states/eV/f.u.) = 9.0

Quantum ESPRESSO input file:
```
&SYSTEM
  ibrav = 0, nat = 4, ntyp = 3
/
ATOMIC_SPECIES
Ru 101.07 Ru.upf
Cl 35.45 Cl.upf
Ce 140.12 Ce.upf
ATOMIC_POSITIONS angstrom
Ru 1.657 1.657 0.000
Cl 1.657 1.657 4.010
Ce 0.000 0.000 1.809
Ce 0.000 0.000 6.210
CELL_PARAMETERS angstrom
3.314 0.000 0.000
0.000 3.314 0.000
0.000 0.000 8.019
```

***

The following is a PBE calculation of an optimized crystal structure of SnPWCl2, from Alexandria. Values from VASP.

- DFT total energy (eV per atom) = -4.96
- excess energy over the best structure of this formula in the dataset (eV per atom) = 0.000
- density of states at the Fermi level (states/eV/f.u.) = 4.7

Quantum ESPRESSO input file:
```
&SYSTEM
  ibrav = 0, nat = 5, ntyp = 4
/
ATOMIC_SPECIES
Cl 35.45 Cl.upf
P 30.97 P.upf
W 183.84 W.upf
Sn 118.71 Sn.upf
ATOMIC_POSITIONS angstrom
Cl -1.460 1.770 -0.746
P 1.636 1.640 0.687
W 0.000 0.000 0.000
Cl -1.009 0.090 2.189
Sn -0.833 3.499 2.130
CELL_PARAMETERS angstrom
-2.920 3.539 -1.492
-2.018 0.180 4.378
3.273 3.279 1.374
```

***

The following is a PBE calculation of an optimized crystal structure of CaPm2NpAs4, from Alexandria. Values from VASP.

- DFT total energy (eV per atom) = -6.57
- density of states at the Fermi level (states/eV/f.u.) = 10.7

Quantum ESPRESSO input file:
```
&SYSTEM
  ibrav = 0, nat = 8, ntyp = 4
/
ATOMIC_SPECIES
Ca 40.08 Ca.upf
Pm 145.00 Pm.upf
As 74.92 As.upf
Np 237.00 Np.upf
ATOMIC_POSITIONS angstrom
Ca 0.367 -1.988 3.676
Pm 2.464 3.070 1.445
As 2.742 -3.514 2.703
As 1.346 0.564 2.529
Np 0.000 0.000 0.000
As 4.882 1.712 0.391
Pm 3.812 -0.901 1.547
As 5.296 -0.383 4.139
CELL_PARAMETERS angstrom
-0.982 1.983 3.574
1.715 -5.960 3.777
5.909 4.157 -0.684
```

***

The following is a PBE calculation of an optimized crystal structure of Al2TcI, from Alexandria. Values from VASP.

- DFT total energy (eV per atom) = -4.05
- excess energy over the best structure of this formula in the dataset (eV per atom) = 0.000
- density of states at the Fermi level (states/eV/f.u.) = 2.7

Quantum ESPRESSO input file:
```
&SYSTEM
  ibrav = 0, nat = 8, ntyp = 3
/
ATOMIC_SPECIES
I 126.90 I.upf
Al 26.98 Al.upf
Tc 98.00 Tc.upf
ATOMIC_POSITIONS angstrom
I 0.000 0.000 0.000
I 6.375 3.187 2.930
Al 2.058 4.781 1.465
Tc 3.187 3.187 0.000
Tc 3.187 6.375 2.930
Al 4.781 5.246 4.394
Al 7.969 7.504 4.394
Al 4.316 1.594 1.465
CELL_PARAMETERS angstrom
6.375 0.000 0.000
0.000 6.375 0.000
3.187 3.187 5.859
```

***

The following is a PBE calculation of an optimized crystal structure of CaEuF, from Alexandria. Values from VASP.

- DFT total energy (eV per atom) = -6.36
- excess energy over the best structure of this formula in the dataset (eV per atom) = 0.000
- density of states at the Fermi level (states/eV/f.u.) = 1.9

Quantum ESPRESSO input file:
```
&SYSTEM
  ibrav = 0, nat = 3, ntyp = 3
/
ATOMIC_SPECIES
F 19.00 F.upf
Ca 40.08 Ca.upf
Eu 151.96 Eu.upf
ATOMIC_POSITIONS angstrom
F 0.000 2.198 4.022
Ca 1.903 1.099 2.777
Eu 0.000 0.000 5.952
CELL_PARAMETERS angstrom
3.807 0.000 0.000
-1.903 3.297 0.000
0.000 0.000 6.376
```